[1]
{
  "formula": "Mg5Sc2Cd2",
  "functional": "GGA-PBE",
  "state": "optimized geometry",
  "lattice": [[5.400, 0.000, -1.218], [-0.968, 9.188, -4.294], [-0.730, -1.358, 9.345]],
  "species": ["Sc", "Sc", "Sc", "Sc", "Mg", "Mg", "Mg", "Mg", "Mg", "Mg", "Mg", "Mg", "Mg", "Mg", "Cd", "Cd", "Cd", "Cd"],
  "fractional_positions": [[0.896, 0.795, 0.295], [0.102, 0.001, 0.705], [0.104, 0.501, 0.705], [0.898, 0.295, 0.295], [0.190, 0.148, 0.500], [0.302, 0.702, 0.105], [0.582, 0.034, 0.272], [0.697, 0.096, 0.895], [0.189, 0.534, 0.272], [0.303, 0.202, 0.105], [0.418, 0.763, 0.728], [0.698, 0.596, 0.895], [0.810, 0.648, 0.500], [0.811, 0.263, 0.728], [0.500, 0.399, 0.000], [0.500, 0.898, 0.500], [0.500, 0.398, 0.500], [0.000, 0.899, 0.000]],
  "e_form_mev_per_atom": 27,
  "dos_at_fermi_per_ev_fu": 5.82
}

[2]
{
  "formula": "Mg4Sc3Cd4",
  "functional": "GGA-PBE",
  "state": "optimized geometry",
  "lattice": [[-2.411, 1.131, 1.866], [-1.917, -4.500, 0.251], [6.192, -4.569, 13.598]],
  "species": ["Cd", "Cd", "Cd", "Cd", "Sc", "Sc", "Sc", "Mg", "Mg", "Mg", "Mg"],
  "fractional_positions": [[0.319, 0.819, 0.364], [0.452, 0.454, 0.094], [0.681, 0.181, 0.636], [0.548, 0.546, 0.906], [0.863, 0.361, 0.279], [0.138, 0.639, 0.721], [0.000, 0.000, 0.000], [0.733, 0.732, 0.534], [0.586, 0.090, 0.818], [0.267, 0.268, 0.466], [0.414, 0.910, 0.182]],
  "e_form_mev_per_atom": -164,
  "dos_at_fermi_per_ev_fu": 7.97,
  "polymorph_energy_mev_per_atom": 0.0
}

[3]
{
  "formula": "MgSc3Cd3",
  "functional": "GGA-PBE",
  "state": "optimized geometry",
  "lattice": [[7.116, -0.095, -0.001], [-0.078, 7.117, -0.001], [0.001, 0.001, 6.545]],
  "species": ["Mg", "Mg", "Sc", "Sc", "Sc", "Sc", "Sc", "Sc", "Cd", "Cd", "Cd", "Cd", "Cd", "Cd"],
  "fractional_positions": [[0.317, 0.317, 0.000], [0.683, 0.683, 0.000], [0.000, 0.000, 0.751], [0.500, 0.000, 0.251], [0.000, 0.500, 0.251], [0.500, 0.000, 0.749], [0.000, 0.000, 0.249], [0.000, 0.500, 0.749], [0.283, 0.717, 0.500], [0.717, 0.283, 0.500], [0.720, 0.720, 0.500], [0.742, 0.258, 0.000], [0.280, 0.280, 0.500], [0.258, 0.742, 0.000]],
  "e_form_mev_per_atom": -113,
  "dos_at_fermi_per_ev_fu": 6.34
}

[4]
{
  "formula": "MgSc7Cd4",
  "functional": "GGA-PBE",
  "state": "optimized geometry",
  "lattice": [[-2.992, -3.793, 2.357], [4.599, -6.959, 0.770], [2.151, -1.116, 7.063]],
  "species": ["Cd", "Cd", "Cd", "Cd", "Sc", "Sc", "Sc", "Sc", "Sc", "Sc", "Sc", "Mg"],
  "fractional_positions": [[0.455, 0.702, 0.388], [0.682, 0.654, 0.982], [0.545, 0.298, 0.612], [0.318, 0.346, 0.018], [0.074, 0.576, 0.275], [0.750, 0.286, 0.214], [0.500, 0.000, 0.000], [0.201, 0.119, 0.478], [0.799, 0.881, 0.522], [0.250, 0.714, 0.786], [0.926, 0.424, 0.725], [0.000, 0.000, 0.000]],
  "e_form_mev_per_atom": 17,
  "dos_at_fermi_per_ev_fu": 13.99
}

[5]
{
  "formula": "MgSc2Cd",
  "functional": "GGA-PBE",
  "state": "optimized geometry",
  "lattice": [[3.233, 0.000, 0.000], [0.000, 3.233, 0.000], [0.000, 0.000, 8.800]],
  "species": ["Sc", "Sc", "Mg", "Cd"],
  "fractional_positions": [[0.500, 0.500, 0.261], [0.000, 0.000, 0.000], [0.500, 0.500, 0.737], [0.000, 0.000, 0.503]],
  "e_form_mev_per_atom": -131,
  "dos_at_fermi_per_ev_fu": 4.42,
  "polymorph_energy_mev_per_atom": 43.9
}

[6]
{
  "formula": "Mg3Sc2Cd",
  "functional": "GGA-PBE",
  "state": "optimized geometry",
  "lattice": [[-0.194, -3.031, 0.953], [-0.572, -1.450, -4.729], [8.573, -0.799, -0.792]],
  "species": ["Mg", "Mg", "Mg", "Sc", "Sc", "Cd"],
  "fractional_positions": [[0.500, 0.000, 0.167], [0.500, 0.500, 0.666], [0.500, 0.000, 0.832], [0.000, 0.000, 0.495], [0.000, 0.500, 0.005], [0.500, 0.500, 0.334]],
  "e_form_mev_per_atom": -86,
  "dos_at_fermi_per_ev_fu": 6.23
}

[7]
{
  "formula": "MgSc2Cd",
  "functional": "GGA-PBE",
  "state": "optimized geometry",
  "lattice": [[3.591, 0.000, 0.000], [0.000, 3.591, 0.000], [0.000, 0.000, 7.004]],
  "species": ["Sc", "Sc", "Mg", "Cd"],
  "fractional_positions": [[0.000, 0.000, 0.001], [0.000, 0.000, 0.499], [0.500, 0.500, 0.750], [0.500, 0.500, 0.250]],
  "e_form_mev_per_atom": -167,
  "dos_at_fermi_per_ev_fu": 4.71,
  "polymorph_energy_mev_per_atom": 8.0
}

[8]
{
  "formula": "Mg2ScCd3",
  "functional": "GGA-PBE",
  "state": "optimized geometry",
  "lattice": [[3.262, 0.000, 0.000], [0.000, 3.262, 0.000], [0.000, 0.000, 12.199]],
  "species": ["Mg", "Mg", "Cd", "Cd", "Cd", "Sc"],
  "fractional_positions": [[0.500, 0.500, 0.165], [0.500, 0.500, 0.835], [0.000, 0.000, 0.000], [0.000, 0.000, 0.330], [0.000, 0.000, 0.670], [0.500, 0.500, 0.500]],
  "e_form_mev_per_atom": -170,
  "dos_at_fermi_per_ev_fu": 3.60,
  "polymorph_energy_mev_per_atom": 19.4
}

[9]
{
  "formula": "Mg2Sc3Cd3",
  "functional": "GGA-PBE",
  "state": "optimized geometry",
  "lattice": [[3.414, 0.000, -0.550], [-0.192, 4.947, -1.190], [-0.044, -0.072, 10.602]],
  "species": ["Sc", "Sc", "Sc", "Mg", "Mg", "Cd", "Cd", "Cd"],
  "fractional_positions": [[0.377, 0.377, 0.753], [0.623, 0.623, 0.247], [0.500, 0.000, 0.000], [0.258, 0.758, 0.515], [0.742, 0.242, 0.485], [0.000, 0.500, 0.000], [0.877, 0.877, 0.753], [0.123, 0.123, 0.247]],
  "e_form_mev_per_atom": -187,
  "dos_at_fermi_per_ev_fu": 6.80,
  "polymorph_energy_mev_per_atom": 0.0
}

[10]
{
  "formula": "Mg2Sc5Cd",
  "functional": "GGA-PBE",
  "state": "optimized geometry",
  "lattice": [[4.424, 0.000, -1.216], [-0.334, 4.411, -1.216], [0.212, 0.229, 9.426]],
  "species": ["Sc", "Sc", "Sc", "Sc", "Sc", "Mg", "Mg", "Cd"],
  "fractional_positions": [[0.624, 0.124, 0.247], [0.124, 0.624, 0.247], [0.876, 0.376, 0.753], [0.376, 0.876, 0.753], [0.500, 0.500, 0.000], [0.749, 0.749, 0.498], [0.251, 0.251, 0.502], [0.000, 0.000, 0.000]],
  "e_form_mev_per_atom": -59,
  "dos_at_fermi_per_ev_fu": 11.01
}

[11]
{
  "formula": "Mg14ScCd",
  "functional": "GGA-PBE",
  "state": "optimized geometry",
  "lattice": [[-4.572, 4.641, -0.063], [-0.897, -0.799, 6.404], [6.047, 5.979, 1.593]],
  "species": ["Sc", "Mg", "Mg", "Mg", "Mg", "Mg", "Mg", "Mg", "Mg", "Mg", "Mg", "Mg", "Mg", "Mg", "Mg", "Cd"],
  "fractional_positions": [[0.875, 0.875, 0.500], [0.626, 0.124, 0.251], [0.375, 0.875, 0.500], [0.626, 0.626, 0.251], [0.875, 0.875, 0.000], [0.124, 0.626, 0.251], [0.875, 0.375, 0.000], [0.124, 0.124, 0.749], [0.626, 0.124, 0.749], [0.375, 0.875, 0.000], [0.124, 0.124, 0.251], [0.124, 0.626, 0.749], [0.375, 0.375, 0.000], [0.875, 0.375, 0.500], [0.626, 0.626, 0.749], [0.375, 0.375, 0.500]],
  "e_form_mev_per_atom": -7,
  "dos_at_fermi_per_ev_fu": 8.89
}

[12]
{
  "formula": "Mg3Sc4Cd2",
  "functional": "GGA-PBE",
  "state": "optimized geometry",
  "lattice": [[4.525, 0.000, 0.001], [2.262, 4.892, 0.942], [-0.002, 1.272, 9.388]],
  "species": ["Mg", "Mg", "Mg", "Sc", "Sc", "Sc", "Sc", "Cd", "Cd"],
  "fractional_positions": [[0.663, 0.673, 0.553], [0.337, 0.327, 0.447], [0.000, 0.000, 0.000], [0.997, 0.005, 0.324], [0.003, 0.995, 0.676], [0.333, 0.333, 0.104], [0.667, 0.667, 0.896], [0.328, 0.344, 0.771], [0.672, 0.656, 0.229]],
  "e_form_mev_per_atom": -101,
  "dos_at_fermi_per_ev_fu": 9.02
}